VASP calculation (PBE) on BeNiSbW after structural relaxation.

a = 6.1234 Å, b = 6.1234 Å, c = 6.1234 Å
α = 90.00°, β = 90.00°, γ = 90.00°
With the nearest neighbours (Å) after each atom.
Space group F-43m (No. 216)
One atom of each set of equivalent atoms:
Be1 0.0000 0.0000 0.0000  4 Sb 2.65, 4 W 2.65
Ni1 0.0000 0.0000 0.5000  4 W 2.65, 4 Sb 2.65
Sb1 0.2500 0.2500 0.2500  4 Ni 2.65, 4 Be 2.65
W1 0.2500 0.2500 0.7500  4 Ni 2.65, 4 Be 2.65

***

VASP calculation (PBE) on LiPmAg after structural relaxation.

a = 6.9336 Å, b = 6.9336 Å, c = 6.9336 Å
α = 90.00°, β = 90.00°, γ = 90.00°
With the nearest neighbours (Å) after each atom.
Space group F-43m (No. 216)
One atom of each set of equivalent atoms:
Li1 0.0000 0.0000 0.0000  4 Pm 3.00
Pm1 0.2500 0.2500 0.7500  4 Ag 3.00, 4 Li 3.00
Ag1 0.0000 0.0000 0.5000  4 Pm 3.00

***

VASP calculation (PBE) on Ag2TeO4 after structural relaxation.

a = 9.0218 Å, b = 9.2855 Å, c = 13.6747 Å
α = 90.00°, β = 91.06°, γ = 90.00°
With the nearest neighbours (Å) after each atom.
Space group C2/c (No. 15)
One atom of each set of equivalent atoms:
Ag1 0.0000 0.0438 0.2500  4 O 2.39-2.44
Ag2 0.0000 0.2786 0.7500  2 O 2.18
Ag3 0.1315 0.3505 0.5669  3 O 2.25-2.46
Ag4 0.1758 0.4418 0.3249  3 O 2.30-2.51
Te1 0.0000 0.0000 0.0000  6 O 1.92-2.01
Te2 0.2059 0.2943 0.1053  6 O 1.89-2.02
O1 0.0367 0.1596 0.0964  2 Te 1.98-2.01
O2 0.0838 0.4447 0.1509  1 Te 1.89
O3 0.1176 0.0777 0.8894  2 Te 1.99-2.00
O4 0.1648 0.1118 0.5472  1 Te 1.92
O5 0.1659 0.3488 0.9653  2 Te 2.01-2.02
O6 0.2395 0.2865 0.7713  1 Te 1.90

***

| no. | VASP energy (eV/atom) |
| --- | --- |
| 1 | -5.925 |
| 2 | -2.782 |
| 3 | -4.648 |